First-principles (GGA-PBE) data for CrPRh2 after structural relaxation, as listed in Alexandria via LeMat-Bulk.

## Properties
* total DFT energy (no corrections): -7.573 eV per atom
* crystal system: orthorhombic
* space group: Cmmm (65)

Lattice parameters (Å, degrees): 4.314 4.314 2.963 90.00 90.00 100.68
Last column: magnetic moment on the atom in μB.
Fractional positions:
1 Rh 0.000 0.000 0.000  0.06
2 Cr 0.500 0.000 0.500  2.85
3 P 0.000 0.500 0.500  -0.03
4 Rh 0.500 0.500 0.000  0.06


First-principles (GGA-PBE) data for La2TmCuS5 after structural relaxation, as listed in Alexandria via LeMat-Bulk.

## Properties
* crystal system: orthorhombic
* space group: Cmc2_1 (36)
* uncorrected formation energy: -16.6 eV per formula unit

Lattice parameters (Å, degrees): 3.964 8.664 11.770 90.00 90.00 103.22
Fractional positions:
1 S 0.353 0.707 0.005
2 La 0.122 0.245 0.316
3 S 0.708 0.416 0.171
4 S 0.502 0.004 0.275
5 Cu 0.443 0.885 0.450
6 S 0.292 0.584 0.671
7 S 0.041 0.082 0.051
8 Cu 0.557 0.115 0.950
9 La 0.111 0.222 0.688
10 S 0.689 0.378 0.856
11 Tm 0.807 0.614 0.513
12 La 0.878 0.755 0.816
13 Tm 0.193 0.386 0.013
14 S 0.959 0.918 0.551
15 La 0.889 0.778 0.188
16 S 0.311 0.622 0.356
17 S 0.498 0.996 0.775
18 S 0.647 0.293 0.505


First-principles (GGA-PBE) data for TcRuRh2 after structural relaxation, as listed in Alexandria via LeMat-Bulk.

## Properties
* crystal system: trigonal
* space group: R3m (160)
* distance to the lowest polymorph of the same formula: 95 meV per atom

Lattice parameters (Å, degrees): 8.976 8.976 8.976 17.48 17.48 17.48
Fractional positions:
1 Tc 0.750 0.750 0.750
2 Rh 0.249 0.249 0.249
3 Rh 0.002 0.002 0.002
4 Ru 0.499 0.499 0.499


First-principles (GGA-PBE) data for Zr2BeN after structural relaxation, as listed in Alexandria via LeMat-Bulk.

## Properties
* crystal system: trigonal
* space group: R-3m (166)
* distance to the lowest polymorph of the same formula: 98 meV per atom
* uncorrected formation energy: -3.2 eV per formula unit

Lattice parameters (Å, degrees): 3.294 3.294 6.497 75.32 75.32 60.00
Fractional positions:
1 N 0.500 0.500 0.500
2 Be 0.000 0.000 0.000
3 Zr 0.237 0.237 0.288
4 Zr 0.763 0.763 0.712


First-principles (GGA-PBE) data for La3Mo after structural relaxation, as listed in Alexandria via LeMat-Bulk.

## Properties
* crystal system: trigonal
* space group: R-3m (166)
* distance to the lowest polymorph of the same formula: 376 meV per atom

Lattice parameters (Å, degrees): 3.387 6.263 6.263 63.17 79.62 100.38
Last column: magnetic moment on the atom in μB.
Fractional positions:
1 La 0.500 0.500 0.000  -0.04
2 La 0.500 0.000 0.500  -0.04
3 Mo 0.000 0.500 0.500  0.64
4 La 0.000 0.000 0.000  -0.04


First-principles (GGA-PBE) data for CdSnNF2 after structural relaxation, as listed in Alexandria via LeMat-Bulk.

## Properties
* crystal system: tetragonal
* space group: P4/mmm (123)
* distance to the lowest polymorph of the same formula: 0 meV per atom
* uncorrected formation energy: -3.7 eV per formula unit

Lattice parameters (Å, degrees): 4.363 4.363 4.115 90.00 90.00 90.00
Fractional positions:
1 N 0.000 0.000 0.500
2 F 0.500 0.000 0.000
3 Cd 0.500 0.500 0.500
4 Sn 0.000 0.000 0.000
5 F 0.000 0.500 0.000


First-principles (GGA-PBE) data for Pr2HoPb after structural relaxation, as listed in Alexandria via LeMat-Bulk.

## Properties
* crystal system: trigonal
* space group: R3m (160)
* distance to the lowest polymorph of the same formula: 171 meV per atom

Lattice parameters (Å, degrees): 3.678 3.678 11.539 80.83 80.83 60.00
Last column: magnetic moment on the atom in μB.
Fractional positions:
1 Pr 0.252 0.252 0.244  0.01
2 Pr 0.082 0.082 0.755  0.01
3 Ho 0.500 0.500 0.500  0.11
4 Pb 0.666 0.666 0.001  0.00


First-principles (GGA-PBE) data for Er2TmUO8 after structural relaxation, as listed in Alexandria via LeMat-Bulk.

## Properties
* crystal system: orthorhombic
* space group: Pmmm (47)
* uncorrected formation energy: -39.7 eV per formula unit

Lattice parameters (Å, degrees): 3.827 5.268 7.473 90.00 90.00 90.01
Fractional positions:
1 Er 0.500 0.500 0.748
2 O 0.000 0.758 0.232
3 O 0.500 0.765 0.000
4 U 0.000 0.000 0.000
5 O 0.000 0.242 0.768
6 O 0.500 0.235 0.000
7 Er 0.500 0.500 0.252
8 O 0.000 0.242 0.232
9 O 0.000 0.758 0.768
10 Tm 0.000 0.000 0.500
11 O 0.500 0.249 0.500
12 O 0.500 0.751 0.500